Record 1
Computed, not measured: crystalline NaLi3Ga at its relaxed geometry at the PBE level of DFT.

Unit cell a=4.9486 b=4.9486 c=4.9486 alpha=90.00 beta=90.00 gamma=90.00
Positions (direct):
Na1 0.0000 0.0000 0.0000
Li1 0.0000 0.0000 0.5000
Li2 0.0000 0.5000 0.0000
Li3 0.5000 0.0000 0.0000
Ga1 0.5000 0.5000 0.5000

Volume in Å³ per cell: 121
ΔH_f (0 K) in eV/atom: 0.44
Distance to the lowest polymorph of the same formula in eV/f.u.: 1.97
Magnetization in μB per formula unit: 0.000

---

Record 2
Computed, not measured: crystalline Na3Li3Ga8 at its relaxed geometry at the PBE level of DFT.

Unit cell a=8.4447 b=8.4447 c=8.4447 alpha=150.11 beta=107.53 gamma=80.32
Positions (direct):
Na1 0.0000 0.0000 0.0000
Na2 0.3098 0.3098 0.0000
Na3 0.6902 0.6902 0.0000
Li1 0.2757 0.5000 0.7757
Li2 0.5000 0.0000 0.5000
Li3 0.7243 0.5000 0.2243
Ga1 0.0419 0.6776 0.3643
Ga2 0.1423 0.8726 0.2697
Ga3 0.3133 0.6776 0.6357
Ga4 0.3971 0.1274 0.2697
Ga5 0.6029 0.8726 0.7303
Ga6 0.6867 0.3224 0.3643
Ga7 0.8577 0.1274 0.7303
Ga8 0.9581 0.3224 0.6357

Volume in Å³ per cell: 281
ΔH_f (0 K) in eV/atom: -0.17
Magnetization in μB per formula unit: 0.000

---

Record 3
Computed, not measured: crystalline Na2LiGa at its relaxed geometry at the PBE level of DFT.

Unit cell a=3.6047 b=3.6047 c=7.7644 alpha=90.00 beta=90.00 gamma=90.00
Positions (direct):
Na1 0.0000 0.0000 0.2362
Na2 0.0000 0.0000 0.7638
Li1 0.5000 0.5000 0.5000
Ga1 0.5000 0.5000 0.0000

Volume in Å³ per cell: 101
ΔH_f (0 K) in eV/atom: 0.06
Magnetization in μB per formula unit: 0.000

---

Record 4
Computed, not measured: crystalline NaLiNdGa at its relaxed geometry at the PBE level of DFT.

Unit cell a=7.2733 b=7.2733 c=7.2733 alpha=90.00 beta=90.00 gamma=90.00
Positions (direct):
Na1 0.0000 0.0000 0.0000
Na2 0.0000 0.5000 0.5000
Na3 0.5000 0.0000 0.5000
Na4 0.5000 0.5000 0.0000
Li1 0.2500 0.2500 0.2500
Li2 0.2500 0.7500 0.7500
Li3 0.7500 0.2500 0.7500
Li4 0.7500 0.7500 0.2500
Nd1 0.0000 0.0000 0.5000
Nd2 0.0000 0.5000 0.0000
Nd3 0.5000 0.0000 0.0000
Nd4 0.5000 0.5000 0.5000
Ga1 0.2500 0.2500 0.7500
Ga2 0.2500 0.7500 0.2500
Ga3 0.7500 0.2500 0.2500
Ga4 0.7500 0.7500 0.7500

Volume in Å³ per cell: 385
ΔH_f (0 K) in eV/atom: -0.13
Magnetization in μB per formula unit: 0.000

---

Record 5
Computed, not measured: crystalline NaLiGaNi2 at its relaxed geometry at the PBE level of DFT.

Unit cell a=4.4589 b=4.4589 c=5.1659 alpha=90.00 beta=90.00 gamma=90.00
Positions (direct):
Na1 0.0000 0.0000 0.0000
Li1 0.5000 0.5000 0.0000
Ga1 0.0000 0.0000 0.5000
Ni1 0.0000 0.5000 0.5000
Ni2 0.5000 0.0000 0.5000

Volume in Å³ per cell: 103
ΔH_f (0 K) in eV/atom: 0.43
Magnetization in μB per formula unit: 0.000

---

Record 6
Computed, not measured: crystalline Na2Li3GaO4 at its relaxed geometry at the PBE level of DFT.

Unit cell a=8.0303 b=8.3483 c=6.5866 alpha=90.00 beta=90.00 gamma=90.00
Positions (direct):
Na1 0.0000 0.0000 0.2411
Na2 0.0000 0.0000 0.7589
Na3 0.2411 0.2473 0.5000
Na4 0.2589 0.7473 0.0000
Na5 0.5000 0.5000 0.2589
Na6 0.5000 0.5000 0.7411
Na7 0.7411 0.2527 0.0000
Na8 0.7589 0.7527 0.5000
Li1 0.0152 0.6475 0.2547
Li2 0.0152 0.6475 0.7453
Li3 0.2352 0.5834 0.5000
Li4 0.2648 0.0834 0.0000
Li5 0.4848 0.1475 0.2453
Li6 0.4848 0.1475 0.7547
Li7 0.5152 0.8525 0.2453
Li8 0.5152 0.8525 0.7547
Li9 0.7352 0.9166 0.0000
Li10 0.7648 0.4166 0.5000
Li11 0.9848 0.3525 0.2547
Li12 0.9848 0.3525 0.7453
Ga1 0.2258 0.3753 0.0000
Ga2 0.2742 0.8753 0.5000
Ga3 0.7258 0.1247 0.5000
Ga4 0.7742 0.6247 0.0000
O1 0.0492 0.2224 0.0000
O2 0.0639 0.7742 0.5000
O3 0.1973 0.4885 0.2417
O4 0.1973 0.4885 0.7583
O5 0.3027 0.9885 0.2583
O6 0.3027 0.9885 0.7417
O7 0.4361 0.2742 0.0000
O8 0.4508 0.7224 0.5000
O9 0.5492 0.2776 0.5000
O10 0.5639 0.7258 0.0000
O11 0.6973 0.0115 0.2583
O12 0.6973 0.0115 0.7417
O13 0.8027 0.5115 0.2417
O14 0.8027 0.5115 0.7583
O15 0.9361 0.2258 0.5000
O16 0.9508 0.7776 0.0000

Volume in Å³ per cell: 442
Formation energy (no corrections) in meV per atom: -1797
Magnetization in μB per formula unit: 0.000